# 1
Entry from Alexandria via LeMat-Bulk: crystalline BeCdBr2 at its relaxed geometry (PBE-GGA).

a b c (Å): 3.5763 3.5763 25.9222
angles (deg): 90.00 90.00 120.00
Last column: nearest neighbours and their distance in Å.
Space group R3m (No. 160, hexagonal axes)
Asymmetric unit:
Be (0.0000, 0.0000, 0.0000) x3  3 Br 2.40
Cd (0.0000, 0.0000, 0.7425) x3  3 Br 2.80, 3 Be 2.85
Br (0.0000, 0.0000, 0.2864) x3  3 Be 2.40
Br (0.0000, 0.0000, 0.4820) x3  3 Cd 2.80

Properties
Excess energy over the best structure of this formula in the dataset: 152 meV/atom

# 2
Entry from Alexandria via LeMat-Bulk: crystalline BeCdBr2 at its relaxed geometry (PBE-GGA).

a b c (Å): 3.4598 3.4598 31.7659
angles (deg): 90.00 90.00 120.00
Last column: nearest neighbours and their distance in Å.
Space group R-3m (No. 166, hexagonal axes)
Asymmetric unit:
Be (0.0000, 0.0000, 0.0000) x3  6 Br 2.43
Cd (0.0000, 0.0000, 0.5000) x3  6 Cd 3.46
Br (0.0000, 0.0000, 0.3767) x6  3 Be 2.43

Properties
Excess energy over the best structure of this formula in the dataset: 20 meV/atom

# 3
Entry from Alexandria via LeMat-Bulk: crystalline Be2CdBr6 at its relaxed geometry (PBE-GGA).

a b c (Å): 13.6433 13.9262 6.3278
angles (deg): 90.00 114.46 90.00
Last column: nearest neighbours and their distance in Å.
Space group C2/c (No. 15)
Asymmetric unit:
Be (0.2190, 0.0745, 0.3120) x8  4 Br 2.19-2.24
Cd (0.0000, 0.2849, 0.2500) x4  4 Br 2.64-2.68
Br (0.1100, 0.4040, 0.6014) x8  1 Be 2.19
Br (0.1286, 0.1964, 0.0966) x8  1 Be 2.21
Br (0.1725, 0.0612, 0.6054) x8  2 Be 2.20-2.24

# 4
Entry from Alexandria via LeMat-Bulk: crystalline BeCdBr2 at its relaxed geometry (PBE-GGA).

a b c (Å): 3.4246 7.4113 9.0820
angles (deg): 90.00 90.00 90.00
Last column: nearest neighbours and their distance in Å.
Space group Cmm2 (No. 35)
Asymmetric unit:
Be (0.0000, 0.0000, 0.0000) x2  2 Br 2.22
Cd (0.0000, 0.5000, 0.2342) x2  2 Br 2.69, 2 Be 2.73
Br (0.0000, 0.0000, 0.4628) x2  2 Cd 2.69
Br (0.0000, 0.5000, 0.8450) x2  2 Be 2.22

Properties
Excess energy over the best structure of this formula in the dataset: 262 meV/atom

# 5
Entry from Alexandria via LeMat-Bulk: crystalline BeCdBr2 at its relaxed geometry (PBE-GGA).

a b c (Å): 7.2779 7.2779 7.2779
angles (deg): 90.00 90.00 90.00
Last column: nearest neighbours and their distance in Å.
Space group F-43m (No. 216)
Asymmetric unit:
Be (0.0000, 0.0000, 0.0000) x4  4 Br 3.15, 4 Cd 3.15
Cd (0.2500, 0.2500, 0.2500) x4  4 Br 3.15, 4 Be 3.15
Br (0.0000, 0.0000, 0.5000) x4  4 Cd 3.15, 4 Br 3.15
Br (0.2500, 0.2500, 0.7500) x4  4 Br 3.15, 4 Be 3.15

Properties
Excess energy over the best structure of this formula in the dataset: 1054 meV/atom

# 6
Entry from Alexandria via LeMat-Bulk: crystalline BeCdBr4 at its relaxed geometry (PBE-GGA).

a b c (Å): 7.3451 7.3451 9.5256
angles (deg): 90.00 90.00 90.00
Last column: nearest neighbours and their distance in Å.
Space group P4_2/mmc (No. 131)
Asymmetric unit:
Be (0.0000, 0.5000, 0.0000) x2  4 Br 2.33
Cd (0.0000, 0.0000, 0.0000) x2  4 Br 2.66
Br (0.2290, 0.2814, 0.0000) x8  1 Be 2.33

Properties
Excess energy over the best structure of this formula in the dataset: 0 meV/atom

# 7
Entry from Alexandria via LeMat-Bulk: crystalline BeCd3Br at its relaxed geometry (PBE-GGA).

a b c (Å): 4.9507 4.9507 4.9507
angles (deg): 90.00 90.00 90.00
Last column: nearest neighbours and their distance in Å.
Space group Pm-3m (No. 221)
Asymmetric unit:
Be (0.0000, 0.0000, 0.0000) x1  6 Cd 2.48
Cd (0.0000, 0.0000, 0.5000) x3  2 Be 2.48
Br (0.5000, 0.5000, 0.5000) x1  12 Cd 3.50

Properties
Excess energy over the best structure of this formula in the dataset: 0 meV/atom

# 8
Entry from Alexandria via LeMat-Bulk: crystalline BeCdBr2 at its relaxed geometry (PBE-GGA).

a b c (Å): 7.1193 7.1193 9.4236
angles (deg): 90.00 90.00 90.00
Last column: nearest neighbours and their distance in Å.
Space group I-42d (No. 122)
Asymmetric unit:
Be (0.0000, 0.0000, 0.0000) x4  4 Br 2.23
Cd (0.0000, 0.0000, 0.5000) x4  8 Br 3.61-4.01
Br (0.0907, 0.7500, 0.1250) x8  2 Be 2.23

Properties
Excess energy over the best structure of this formula in the dataset: 36 meV/atom

# 9
Entry from Alexandria via LeMat-Bulk: crystalline BeCdBr2 at its relaxed geometry (PBE-GGA).

a b c (Å): 7.8896 7.9233 4.1580
angles (deg): 90.00 119.36 90.00
Last column: nearest neighbours and their distance in Å.
Space group C2/m (No. 12)
Asymmetric unit:
Be (0.0000, 0.0000, 0.0000) x2  4 Br 2.80
Cd (0.0000, 0.5000, 0.0000) x2  4 Br 2.80
Br (0.2500, 0.2500, 0.0000) x4  2 Cd 2.80, 2 Be 2.80

Properties
Excess energy over the best structure of this formula in the dataset: 712 meV/atom

# 10
Entry from Alexandria via LeMat-Bulk: crystalline BeCd2Br6 at its relaxed geometry (PBE-GGA).

a b c (Å): 14.3332 14.6038 7.0711
angles (deg): 90.00 116.90 90.00
Last column: nearest neighbours and their distance in Å.
Space group C2/c (No. 15)
Asymmetric unit:
Be (0.0000, 0.2197, 0.2500) x4  4 Br 2.19-2.21
Cd (0.2298, 0.4155, 0.4501) x8  4 Br 2.62-2.67
Br (0.0871, 0.1330, 0.5314) x8  1 Be 2.21
Br (0.1004, 0.3006, 0.1542) x8  1 Be 2.19
Br (0.1994, 0.4160, 0.7883) x8  2 Cd 2.62-2.67

# 11
Entry from Alexandria via LeMat-Bulk: crystalline BeCdBr at its relaxed geometry (PBE-GGA).

a b c (Å): 6.8766 6.8766 6.8766
angles (deg): 90.00 90.00 90.00
Last column: nearest neighbours and their distance in Å.
Space group F-43m (No. 216)
Asymmetric unit:
Be (0.0000, 0.0000, 0.0000) x4  4 Cd 2.98
Cd (0.2500, 0.2500, 0.7500) x4  4 Br 2.98, 4 Be 2.98
Br (0.0000, 0.0000, 0.5000) x4  4 Cd 2.98

Properties
Excess energy over the best structure of this formula in the dataset: 670 meV/atom

# 12
Entry from Alexandria via LeMat-Bulk: crystalline BeCdBr2 at its relaxed geometry (PBE-GGA).

a b c (Å): 3.2936 7.4445 10.7646
angles (deg): 90.00 90.00 90.00
Last column: nearest neighbours and their distance in Å.
Space group Cmmm (No. 65)
Asymmetric unit:
Be (0.0000, 0.0000, 0.0000) x2  4 Br 2.28
Cd (0.0000, 0.0000, 0.5000) x2  2 Cd 3.29
Br (0.0000, 0.5000, 0.1468) x4  2 Be 2.28

Properties
Excess energy over the best structure of this formula in the dataset: 99 meV/atom

# 13
Entry from Alexandria via LeMat-Bulk: crystalline BeCdBr2 at its relaxed geometry (PBE-GGA).

a b c (Å): 3.3892 7.5819 9.1644
angles (deg): 90.00 90.00 90.00
Last column: nearest neighbours and their distance in Å.
Space group Imm2 (No. 44)
Asymmetric unit:
Be (0.0000, 0.0000, 0.0000) x2  2 Br 2.21
Cd (0.0000, 0.5000, 0.7293) x2  2 Be 2.70, 2 Br 2.79
Br (0.0000, 0.0000, 0.4711) x2  2 Cd 2.79
Br (0.0000, 0.5000, 0.3460) x2  2 Be 2.21

Properties
Excess energy over the best structure of this formula in the dataset: 234 meV/atom

# 14
Entry from Alexandria via LeMat-Bulk: crystalline BeCd3Br at its relaxed geometry (PBE-GGA).

a b c (Å): 5.8719 5.8719 5.8719
angles (deg): 90.00 90.00 90.00
Last column: nearest neighbours and their distance in Å.
Space group Pm-3m (No. 221)
Asymmetric unit:
Be (0.0000, 0.0000, 0.0000) x1  12 Cd 4.15
Cd (0.0000, 0.5000, 0.5000) x3  2 Br 2.94
Br (0.5000, 0.5000, 0.5000) x1  6 Cd 2.94

Properties
Excess energy over the best structure of this formula in the dataset: 919 meV/atom

Total DFT energy (no corrections) list, top to bottom, in eV per atom: -2.295; -2.427; -2.973; -2.185; -1.393; -2.538; -1.565; -2.411; -1.734; -2.619; -1.359; -2.347; -2.213; -0.646